{
  "formula": "KCe2CuS5",
  "functional": "PBE",
  "state": "optimized geometry",
  "cell": [[-3.877, 3.877, 6.749], [3.877, -3.877, 6.749], [3.877, 3.877, -6.749]],
  "species": ["K", "K", "Ce", "Ce", "Ce", "Ce", "Cu", "Cu", "S", "S", "S", "S", "S", "S", "S", "S", "S", "S"],
  "fractional_positions": [[0.250, 0.250, 0.000], [0.750, 0.750, 0.000], [0.165, 0.665, 0.831], [0.335, 0.165, 0.500], [0.665, 0.835, 0.500], [0.835, 0.335, 0.169], [0.250, 0.750, 0.500], [0.750, 0.250, 0.500], [0.000, 0.000, 0.000], [0.016, 0.229, 0.500], [0.229, 0.729, 0.212], [0.271, 0.484, 0.500], [0.484, 0.984, 0.212], [0.500, 0.500, 0.000], [0.516, 0.016, 0.788], [0.729, 0.516, 0.500], [0.771, 0.271, 0.788], [0.984, 0.771, 0.500]],
  "rho_g_cm3": 4.45,
  "space_group": "I4/mcm (140)",
  "raw_formation_energy_ev_per_atom": -1.4704,
  "total_magnetization_mub_per_cell": 0.56,
  "crystal_system": "tetragonal"
}



{
  "formula": "KCeCu2S4",
  "functional": "PBE",
  "state": "optimized geometry",
  "cell": [[6.580, 0.000, 0.000], [0.000, 6.580, 0.000], [0.000, 0.000, 7.949]],
  "species": ["K", "K", "Ce", "Ce", "Cu", "Cu", "Cu", "Cu", "S", "S", "S", "S", "S", "S", "S", "S"],
  "fractional_positions": [[0.000, 0.000, 0.000], [0.500, 0.500, 0.500], [0.000, 0.000, 0.500], [0.500, 0.500, 0.000], [0.000, 0.500, 0.250], [0.000, 0.500, 0.750], [0.500, 0.000, 0.250], [0.500, 0.000, 0.750], [0.225, 0.225, 0.717], [0.225, 0.775, 0.283], [0.275, 0.275, 0.217], [0.275, 0.725, 0.783], [0.725, 0.275, 0.783], [0.725, 0.725, 0.217], [0.775, 0.225, 0.283], [0.775, 0.775, 0.717]],
  "rho_g_cm3": 4.19,
  "space_group": "I-42m (121)",
  "raw_formation_energy_ev_per_atom": -0.8435,
  "total_magnetization_mub_per_cell": 0.41,
  "crystal_system": "tetragonal"
}



{
  "formula": "K4Ce3CuS8",
  "functional": "PBE",
  "state": "optimized geometry",
  "cell": [[7.158, -4.057, 0.000], [7.158, 4.057, 0.000], [-4.727, 0.000, 7.319]],
  "species": ["K", "K", "K", "K", "Ce", "Ce", "Ce", "Cu", "S", "S", "S", "S", "S", "S", "S", "S"],
  "fractional_positions": [[0.000, 0.000, 0.000], [0.000, 0.500, 0.000], [0.500, 0.000, 0.000], [0.500, 0.500, 0.000], [0.000, 0.000, 0.500], [0.000, 0.500, 0.500], [0.500, 0.000, 0.500], [0.500, 0.500, 0.500], [0.235, 0.235, 0.708], [0.237, 0.726, 0.693], [0.257, 0.257, 0.293], [0.274, 0.763, 0.307], [0.726, 0.237, 0.693], [0.743, 0.743, 0.707], [0.763, 0.274, 0.307], [0.765, 0.765, 0.292]],
  "rho_g_cm3": 3.50,
  "space_group": "C2/m (12)",
  "raw_formation_energy_ev_per_atom": -1.4795,
  "total_magnetization_mub_per_cell": 1.05,
  "crystal_system": "monoclinic"
}



{
  "formula": "K2CeCuS4",
  "functional": "PBE",
  "state": "optimized geometry",
  "cell": [[7.299, 0.000, 0.000], [0.000, 7.299, 0.000], [0.000, 0.000, 8.212]],
  "species": ["K", "K", "K", "K", "Ce", "Ce", "Cu", "Cu", "S", "S", "S", "S", "S", "S", "S", "S"],
  "fractional_positions": [[0.000, 0.000, 0.000], [0.000, 0.500, 0.250], [0.500, 0.000, 0.750], [0.500, 0.500, 0.500], [0.000, 0.500, 0.750], [0.500, 0.000, 0.250], [0.000, 0.000, 0.500], [0.500, 0.500, 0.000], [0.174, 0.756, 0.586], [0.244, 0.174, 0.414], [0.256, 0.326, 0.914], [0.326, 0.744, 0.086], [0.674, 0.256, 0.086], [0.744, 0.674, 0.914], [0.756, 0.826, 0.414], [0.826, 0.244, 0.586]],
  "rho_g_cm3": 3.11,
  "space_group": "I-4 (82)",
  "raw_formation_energy_ev_per_atom": -1.0398,
  "total_magnetization_mub_per_cell": 1.23,
  "crystal_system": "tetragonal"
}



{
  "formula": "K2CeCu2S4",
  "functional": "PBE",
  "state": "optimized geometry",
  "cell": [[3.988, 0.000, 0.000], [-1.988, 7.244, 0.000], [-0.005, -2.580, 7.148]],
  "species": ["K", "K", "Ce", "Cu", "Cu", "S", "S", "S", "S"],
  "fractional_positions": [[0.137, 0.273, 0.064], [0.863, 0.727, 0.936], [0.000, 0.000, 0.500], [0.322, 0.641, 0.514], [0.678, 0.359, 0.486], [0.200, 0.401, 0.670], [0.478, 0.956, 0.734], [0.522, 0.044, 0.266], [0.800, 0.599, 0.330]],
  "rho_g_cm3": 3.81,
  "space_group": "P-1 (2)",
  "raw_formation_energy_ev_per_atom": -1.1948,
  "total_magnetization_mub_per_cell": 0.00,
  "crystal_system": "triclinic"
}



{
  "formula": "KCe2Cu2S6",
  "functional": "PBE",
  "state": "optimized geometry",
  "cell": [[7.241, 0.000, 0.000], [3.177, 6.512, 0.000], [3.607, 2.096, 6.244]],
  "species": ["K", "Ce", "Ce", "Cu", "Cu", "S", "S", "S", "S", "S", "S"],
  "fractional_positions": [[0.000, 0.000, 0.000], [0.327, 0.024, 0.323], [0.673, 0.976, 0.677], [0.265, 0.567, 0.691], [0.735, 0.433, 0.309], [0.085, 0.750, 0.466], [0.321, 0.239, 0.915], [0.437, 0.768, 0.679], [0.563, 0.232, 0.321], [0.679, 0.761, 0.085], [0.915, 0.250, 0.534]],
  "rho_g_cm3": 3.60,
  "space_group": "P-1 (2)",
  "raw_formation_energy_ev_per_atom": -1.1542,
  "total_magnetization_mub_per_cell": 0.00,
  "crystal_system": "triclinic"
}



{
  "formula": "KCe2Cu2S4",
  "functional": "PBE",
  "state": "optimized geometry",
  "cell": [[7.505, -1.869, 0.000], [7.505, 1.869, 0.000], [-3.030, 0.000, 6.721]],
  "species": ["K", "Ce", "Ce", "Cu", "Cu", "S", "S", "S", "S"],
  "fractional_positions": [[0.000, 0.000, 0.000], [0.128, 0.128, 0.553], [0.872, 0.872, 0.447], [0.311, 0.311, 0.989], [0.689, 0.689, 0.011], [0.218, 0.218, 0.237], [0.460, 0.460, 0.272], [0.540, 0.540, 0.728], [0.782, 0.782, 0.763]],
  "rho_g_cm3": 5.06,
  "space_group": "C2/m (12)",
  "raw_formation_energy_ev_per_atom": -1.1375,
  "total_magnetization_mub_per_cell": 2.84,
  "crystal_system": "monoclinic"
}



{
  "formula": "KCeCuSe3",
  "functional": "PBE",
  "state": "optimized geometry",
  "cell": [[9.142, 0.000, 0.000], [0.000, 4.172, 0.000], [-2.847, 0.000, 9.104]],
  "species": ["K", "K", "Ce", "Ce", "Cu", "Cu", "Se", "Se", "Se", "Se", "Se", "Se"],
  "fractional_positions": [[0.200, 0.250, 0.242], [0.800, 0.750, 0.758], [0.318, 0.750, 0.835], [0.682, 0.250, 0.165], [0.082, 0.250, 0.591], [0.918, 0.750, 0.409], [0.113, 0.250, 0.857], [0.201, 0.750, 0.526], [0.457, 0.750, 0.157], [0.543, 0.250, 0.843], [0.799, 0.250, 0.474], [0.887, 0.750, 0.143]],
  "rho_g_cm3": 4.59,
  "space_group": "P2_1/m (11)",
  "raw_formation_energy_ev_per_atom": -1.2607,
  "total_magnetization_mub_per_cell": 0.33,
  "crystal_system": "monoclinic"
}



{
  "formula": "K2CeCuSe4",
  "functional": "PBE",
  "state": "optimized geometry",
  "cell": [[7.661, 0.000, 0.000], [0.000, 7.661, 0.000], [0.000, 0.000, 8.413]],
  "species": ["K", "K", "K", "K", "Ce", "Ce", "Cu", "Cu", "Se", "Se", "Se", "Se", "Se", "Se", "Se", "Se"],
  "fractional_positions": [[0.000, 0.000, 0.000], [0.000, 0.500, 0.250], [0.500, 0.000, 0.750], [0.500, 0.500, 0.500], [0.000, 0.500, 0.750], [0.500, 0.000, 0.250], [0.000, 0.000, 0.500], [0.500, 0.500, 0.000], [0.180, 0.758, 0.587], [0.242, 0.180, 0.413], [0.258, 0.320, 0.913], [0.320, 0.742, 0.087], [0.680, 0.258, 0.087], [0.742, 0.680, 0.913], [0.758, 0.820, 0.413], [0.820, 0.242, 0.587]],
  "rho_g_cm3": 4.02,
  "space_group": "I-4 (82)",
  "raw_formation_energy_ev_per_atom": -0.9652,
  "total_magnetization_mub_per_cell": 0.07,
  "crystal_system": "tetragonal"
}



{
  "formula": "K4Ce3CuSe8",
  "functional": "PBE",
  "state": "optimized geometry",
  "cell": [[7.458, -4.217, 0.000], [7.458, 4.217, 0.000], [-4.934, 0.000, 7.631]],
  "species": ["K", "K", "K", "K", "Ce", "Ce", "Ce", "Cu", "Se", "Se", "Se", "Se", "Se", "Se", "Se", "Se"],
  "fractional_positions": [[0.000, 0.000, 0.000], [0.000, 0.500, 0.000], [0.500, 0.000, 0.000], [0.500, 0.500, 0.000], [0.000, 0.000, 0.500], [0.000, 0.500, 0.500], [0.500, 0.000, 0.500], [0.500, 0.500, 0.500], [0.236, 0.236, 0.711], [0.242, 0.724, 0.694], [0.257, 0.257, 0.291], [0.276, 0.758, 0.306], [0.724, 0.242, 0.694], [0.743, 0.743, 0.709], [0.758, 0.276, 0.306], [0.764, 0.764, 0.289]],
  "rho_g_cm3": 4.40,
  "space_group": "C2/m (12)",
  "raw_formation_energy_ev_per_atom": -1.3904,
  "total_magnetization_mub_per_cell": 1.06,
  "crystal_system": "monoclinic"
}



{
  "formula": "KCe2CuSe4",
  "functional": "PBE",
  "state": "optimized geometry",
  "cell": [[2.113, -7.242, 0.000], [2.113, 7.242, 0.000], [0.000, 0.000, 14.585]],
  "species": ["K", "K", "Ce", "Ce", "Ce", "Ce", "Cu", "Cu", "Se", "Se", "Se", "Se", "Se", "Se", "Se", "Se"],
  "fractional_positions": [[0.109, 0.891, 0.750], [0.891, 0.109, 0.250], [0.367, 0.633, 0.561], [0.367, 0.633, 0.939], [0.633, 0.367, 0.061], [0.633, 0.367, 0.439], [0.161, 0.839, 0.250], [0.839, 0.161, 0.750], [0.000, 0.000, 0.000], [0.000, 0.000, 0.500], [0.264, 0.736, 0.115], [0.264, 0.736, 0.385], [0.432, 0.568, 0.750], [0.568, 0.432, 0.250], [0.736, 0.264, 0.615], [0.736, 0.264, 0.885]],
  "rho_g_cm3": 5.20,
  "space_group": "Cmcm (63)",
  "raw_formation_energy_ev_per_atom": -1.4659,
  "total_magnetization_mub_per_cell": 4.00,
  "crystal_system": "orthorhombic"
}



{
  "formula": "KCeCuSe4",
  "functional": "PBE",
  "state": "optimized geometry",
  "cell": [[2.990, -9.665, 0.000], [2.990, 9.665, 0.000], [0.000, 0.000, 6.062]],
  "species": ["K", "K", "Ce", "Ce", "Cu", "Cu", "Se", "Se", "Se", "Se", "Se", "Se", "Se", "Se"],
  "fractional_positions": [[0.111, 0.889, 0.750], [0.889, 0.111, 0.250], [0.412, 0.588, 0.750], [0.588, 0.412, 0.250], [0.183, 0.817, 0.250], [0.817, 0.183, 0.750], [0.000, 0.500, 0.000], [0.000, 0.500, 0.500], [0.064, 0.936, 0.250], [0.440, 0.560, 0.250], [0.500, 0.000, 0.000], [0.500, 0.000, 0.500], [0.560, 0.440, 0.750], [0.936, 0.064, 0.750]],
  "rho_g_cm3": 5.29,
  "space_group": "Cmcm (63)",
  "raw_formation_energy_ev_per_atom": -0.8700,
  "total_magnetization_mub_per_cell": 0.94,
  "crystal_system": "orthorhombic"
}